No. 1
Density functional theory data (GGA-PBE) for a relaxed structure of Dy4FePb.

a b c (Å): 6.0283 7.9425 7.9425
angles (deg): 113.07 100.59 100.59
Element x y z (fractional)
Dy 0.8713 0.6512 0.7959
Dy 0.0521 0.9463 0.2678
Dy 0.6287 0.2041 0.3488
Dy 0.4479 0.7322 0.0537
Dy 0.5521 0.2678 0.9463
Dy 0.3713 0.7959 0.6512
Dy 0.9479 0.0537 0.7322
Dy 0.1287 0.3488 0.2041
Fe 0.2500 0.0005 0.9995
Fe 0.7500 0.9995 0.0005
Pb 0.7500 0.6294 0.3706
Pb 0.2500 0.3706 0.6294

Energy of formation from the pure elements (eV/atom): -0.223
Fermi-level density of states (states/eV per atom): 0.90

No. 2
Density functional theory data (GGA-PBE) for a relaxed structure of Dy8FePb2.

a b c (Å): 5.3507 6.7537 9.7228
angles (deg): 113.63 105.97 90.00
Element x y z (fractional)
Dy 0.4108 0.5812 0.8215
Dy 0.6383 0.9626 0.2765
Dy 0.7931 0.7000 0.5862
Dy 0.9898 0.2159 0.9796
Dy 0.2069 0.3000 0.4138
Dy 0.3617 0.0374 0.7235
Dy 0.5892 0.4188 0.1785
Dy 0.0102 0.7841 0.0204
Fe 0.5000 0.0000 0.0000
Pb 0.8284 0.2768 0.6569
Pb 0.1716 0.7232 0.3431

Energy of formation from the pure elements (eV/atom): -0.162
Fermi-level density of states (states/eV per atom): 1.06

No. 3
Density functional theory data (GGA-PBE) for a relaxed structure of Dy2FePb.

a b c (Å): 3.5714 3.5714 10.1933
angles (deg): 79.91 79.91 60.00
Site moments in Bohr magnetons follow the coordinates.
Element x y z (fractional)
Pb 0.0000 0.0000 0.0000  0.03
Fe 0.5000 0.5000 0.5000  1.41
Dy 0.1080 0.1080 0.6761  -0.21
Dy 0.8920 0.8920 0.3239  -0.21

Energy of formation from the pure elements (eV/atom): 0.192
Fermi-level density of states (states/eV per atom): 1.02

No. 4
Density functional theory data (GGA-PBE) for a relaxed structure of Dy3FePd12.

a b c (Å): 4.0802 4.0802 16.1623
angles (deg): 90.00 90.00 90.00
Site moments in Bohr magnetons follow the coordinates.
Element x y z (fractional)
Dy 0.0000 0.0000 0.2429  0.02
Dy 0.0000 0.0000 0.5000  0.01
Dy 0.0000 0.0000 0.7571  0.02
Fe 0.0000 0.0000 0.0000  -3.36
Pd 0.5000 0.5000 0.0000  -0.24
Pd 0.5000 0.5000 0.2420  -0.02
Pd 0.5000 0.5000 0.5000  0.01
Pd 0.5000 0.5000 0.7580  -0.02
Pd 0.5000 0.0000 0.1123  -0.19
Pd 0.5000 0.0000 0.3710  0.00
Pd 0.5000 0.0000 0.6290  0.00
Pd 0.5000 0.0000 0.8877  -0.19
Pd 0.0000 0.5000 0.1123  -0.19
Pd 0.0000 0.5000 0.3710  0.00
Pd 0.0000 0.5000 0.6290  0.00
Pd 0.0000 0.5000 0.8877  -0.19

Energy of formation from the pure elements (eV/atom): -0.670
Fermi-level density of states (states/eV per atom): 0.74

No. 5
Density functional theory data (GGA-PBE) for a relaxed structure of Dy6Fe2Pd.

a b c (Å): 8.2450 8.2450 8.2450
angles (deg): 107.63 110.61 110.20
Site moments in Bohr magnetons follow the coordinates.
Element x y z (fractional)
Dy 0.5231 0.7104 0.8127  -0.12
Dy 0.4769 0.2896 0.1873  -0.12
Dy 0.1024 0.2896 0.8127  -0.12
Dy 0.8976 0.7104 0.1873  -0.12
Dy 0.7984 0.7790 0.5774  -0.08
Dy 0.2016 0.2210 0.4226  -0.08
Dy 0.2016 0.7790 0.9806  -0.08
Dy 0.7984 0.2210 0.0194  -0.08
Dy 0.7028 0.3883 0.6855  -0.12
Dy 0.2972 0.6117 0.3145  -0.12
Dy 0.2972 0.9827 0.6855  -0.12
Dy 0.7028 0.0173 0.3145  -0.12
Fe 0.5000 0.3898 0.8898  0.71
Fe 0.5000 0.6102 0.1102  0.71
Fe 0.6163 0.0000 0.6163  0.97
Fe 0.3837 0.0000 0.3837  0.97
Pd 0.0000 0.5000 0.5000  -0.01
Pd 0.0000 0.0000 0.0000  0.00

Energy of formation from the pure elements (eV/atom): -0.209
Fermi-level density of states (states/eV per atom): 0.95

No. 6
Density functional theory data (GGA-PBE) for a relaxed structure of Dy2FePd.

a b c (Å): 3.4390 3.4390 6.8824
angles (deg): 90.00 90.00 90.00
Site moments in Bohr magnetons follow the coordinates.
Element x y z (fractional)
Fe 0.5000 0.5000 0.0000  1.77
Pd 0.5000 0.5000 0.5000  -0.01
Dy 0.0000 0.0000 0.7600  -0.27
Dy 0.0000 0.0000 0.2400  -0.27

Energy above the most stable polymorph in this dataset (meV/atom): 0
Energy of formation from the pure elements (eV/atom): -0.386
Fermi-level density of states (states/eV per atom): 1.01